Entry from Alexandria: a relaxed structure of Ac3Pm7Sm2 (PBE-GGA).

Lattice parameters (Å, degrees): 3.805 5.871 20.900 90.00 95.23 90.00
Atoms (fractional coordinates):
Pm  0.586  0.000  0.173
Pm  0.414  0.000  0.827
Pm  0.717  0.500  0.435
Pm  0.929  0.500  0.858
Pm  0.071  0.500  0.142
Pm  0.283  0.500  0.565
Pm  0.000  0.000  0.000
Ac  0.177  0.000  0.354
Ac  0.823  0.000  0.646
Ac  0.500  0.500  0.000
Sm  0.360  0.500  0.721
Sm  0.640  0.500  0.279

Calculated values
As for the density of states at the Fermi level: 18.2 states/eV/f.u. Its symmetry is P2/m, No. 10. The crystal system is monoclinic. For the formation energy, the calculation gives 220 meV/atom.